No. 1
First-principles (PBE) data for La2Nb2Al after structural relaxation, as listed in the Alexandria database.

Properties
Electronic total energy, eV/atom: -6.6055
Energy of formation, eV/atom: 0.142
V, A^3/atom: 24.8

a b c (Å): 7.2762 7.2762 4.6873
angles (deg): 90.00 90.00 90.00
With the nearest neighbours (Å) after each atom.
Element x y z (fractional)
1 La 0.1822 0.3178 0.0000  6 Nb 3.03-3.29
2 La 0.3178 0.8178 0.0000  6 Nb 3.03-3.29
3 La 0.6822 0.1822 0.0000  6 Nb 3.03-3.29
4 La 0.8178 0.6822 0.0000  6 Nb 3.03-3.29
5 Nb 0.1313 0.6313 0.5000  1 Nb 2.70, 2 Al 2.85
6 Nb 0.3687 0.1313 0.5000  1 Nb 2.70, 2 Al 2.85
7 Nb 0.6313 0.8687 0.5000  1 Nb 2.70, 2 Al 2.85
8 Nb 0.8687 0.3687 0.5000  1 Nb 2.70, 2 Al 2.85
9 Al 0.0000 0.0000 0.5000  4 Nb 2.85
10 Al 0.5000 0.5000 0.5000  4 Nb 2.85

No. 2
First-principles (PBE) data for YGaIr after structural relaxation, as listed in the Alexandria database.

Properties
Electronic total energy, eV/atom: -6.8607
Energy of formation, eV/atom: -0.743
V, A^3/atom: 20.2

a b c (Å): 4.3453 4.3453 3.7058
angles (deg): 90.00 90.00 120.00
With the nearest neighbours (Å) after each atom.
Element x y z (fractional)
1 Y 0.0000 0.0000 0.0000  6 Ir 3.12, 6 Ga 3.12
2 Ga 0.3333 0.6667 0.5000  3 Ir 2.51
3 Ir 0.6667 0.3333 0.5000  3 Ga 2.51

No. 3
First-principles (PBE) data for Pr2LuHf after structural relaxation, as listed in the Alexandria database.

Properties
Polymorph energy (0 for the lowest one), eV per atom: 0.035
Electronic total energy, eV/atom: -5.7927
Energy of formation, eV/atom: 0.216
V, A^3/atom: 30.1

a b c (Å): 4.0539 4.0539 7.3319
angles (deg): 90.00 90.00 90.00
With the nearest neighbours (Å) after each atom.
Element x y z (fractional)
1 Pr 0.0000 0.0000 0.2287  4 Hf 3.32, 1 Pr 3.35, 4 Lu 3.49
2 Pr 0.0000 0.0000 0.7713  4 Hf 3.32, 1 Pr 3.35, 4 Lu 3.49
3 Lu 0.5000 0.5000 0.5000  8 Pr 3.49, 2 Hf 3.67
4 Hf 0.5000 0.5000 0.0000  8 Pr 3.32, 2 Lu 3.67

No. 4
First-principles (PBE) data for Te2WIN after structural relaxation, as listed in the Alexandria database.

Properties
Polymorph energy (0 for the lowest one), eV per atom: 0.000
E_form (uncorrected), eV/atom: 0.36
Electronic total energy, eV/atom: -5.4618
V, A^3/atom: 23.8

a b c (Å): 5.5466 5.5466 3.8747
angles (deg): 90.00 90.00 90.00
With the nearest neighbours (Å) after each atom.
Element x y z (fractional)
1 Te 0.0000 0.5000 0.0000  2 W 2.77
2 Te 0.5000 0.0000 0.0000  2 W 2.77
3 W 0.0000 0.0000 0.0000  2 N 1.94
4 I 0.5000 0.5000 0.5000  8 Te 3.38
5 N 0.0000 0.0000 0.5000  2 W 1.94

No. 5
First-principles (PBE) data for BaHg2Cl6 after structural relaxation, as listed in the Alexandria database.

Properties
Polymorph energy (0 for the lowest one), eV per atom: 0.020
E_form (uncorrected), eV/atom: -1.19
Electronic total energy, eV/atom: -2.7019
V, A^3/atom: 36.6

a b c (Å): 7.7906 7.7906 8.7517
angles (deg): 110.15 110.15 41.79
With the nearest neighbours (Å) after each atom.
Element x y z (fractional)
1 Ba 0.0000 0.0000 0.0000  6 Cl 3.05-3.26
2 Hg 0.2234 0.2234 0.6590  3 Cl 2.46-2.56
3 Hg 0.7766 0.7766 0.3410  3 Cl 2.46-2.56
4 Cl 0.0683 0.0683 0.7098  1 Hg 2.46
5 Cl 0.2114 0.2114 0.3601  1 Hg 2.56
6 Cl 0.3744 0.3744 0.9218  1 Hg 2.53
7 Cl 0.6256 0.6256 0.0782  1 Hg 2.53
8 Cl 0.7886 0.7886 0.6399  1 Hg 2.56
9 Cl 0.9317 0.9317 0.2902  1 Hg 2.46

No. 6
First-principles (PBE) data for TiNb3O after structural relaxation, as listed in the Alexandria database.

Properties
Polymorph energy (0 for the lowest one), eV per atom: 0.000
E_form (uncorrected), eV/atom: -0.66
Electronic total energy, eV/atom: -9.2770
V, A^3/atom: 15.9

a b c (Å): 4.2960 4.2960 4.2960
angles (deg): 90.00 90.00 90.00
With the nearest neighbours (Å) after each atom.
Element x y z (fractional)
1 Ti 0.0000 0.0000 0.0000  12 Nb 3.04
2 Nb 0.0000 0.5000 0.5000  2 O 2.15
3 Nb 0.5000 0.0000 0.5000  2 O 2.15
4 Nb 0.5000 0.5000 0.0000  2 O 2.15
5 O 0.5000 0.5000 0.5000  6 Nb 2.15

No. 7
First-principles (PBE) data for CsRbSbS3 after structural relaxation, as listed in the Alexandria database.

Properties
E_form (uncorrected), eV/atom: -0.73
Electronic total energy, eV/atom: -3.7807
V, A^3/atom: 45.0

a b c (Å): 7.9892 7.9892 9.6866
angles (deg): 97.38 97.38 61.97
With the nearest neighbours (Å) after each atom.
Element x y z (fractional)
1 Cs 0.1658 0.1658 0.1187  4 S 3.54-3.61
2 Cs 0.8342 0.8342 0.8813  4 S 3.54-3.61
3 Rb 0.2555 0.7445 0.5000  4 S 3.30-3.37
4 Rb 0.7445 0.2555 0.5000  4 S 3.30-3.37
5 Sb 0.4801 0.4801 0.1469  3 S 2.35
6 Sb 0.5199 0.5199 0.8531  3 S 2.35
7 S 0.1514 0.6285 0.1731  1 Sb 2.35
8 S 0.3715 0.8486 0.8269  1 Sb 2.35
9 S 0.3742 0.3742 0.6906  1 Sb 2.35
10 S 0.6258 0.6258 0.3094  1 Sb 2.35
11 S 0.6285 0.1514 0.1731  1 Sb 2.35
12 S 0.8486 0.3715 0.8269  1 Sb 2.35

No. 8
First-principles (PBE) data for Si2HgBr after structural relaxation, as listed in the Alexandria database.

Properties
Polymorph energy (0 for the lowest one), eV per atom: 0.358
E_form (uncorrected), eV/atom: 0.51
Electronic total energy, eV/atom: -2.6995
V, A^3/atom: 24.1

a b c (Å): 6.5210 6.5210 6.5210
angles (deg): 38.49 38.49 38.49
With the nearest neighbours (Å) after each atom.
Element x y z (fractional)
1 Si 0.2200 0.2200 0.2200  3 Hg 2.66
2 Si 0.7800 0.7800 0.7800  3 Hg 2.66
3 Hg 0.5000 0.5000 0.5000  6 Si 2.66
4 Br 0.0000 0.0000 0.0000  6 Si 3.22

No. 9
First-principles (PBE) data for Pr3Ga5Cu6 after structural relaxation, as listed in the Alexandria database.

Properties
Electronic total energy, eV/atom: -4.2558
Energy of formation, eV/atom: -0.395
V, A^3/atom: 18.0

a b c (Å): 8.1697 8.1697 8.1697
angles (deg): 148.81 114.59 74.24
With the nearest neighbours (Å) after each atom.
Element x y z (fractional)
1 Pr 0.0000 0.0000 0.0000  4 Cu 3.01, 8 Ga 3.30
2 Pr 0.3036 0.3036 0.0000  8 Cu 3.05-3.35, 8 Ga 3.15-3.37
3 Pr 0.6964 0.6964 0.0000  8 Cu 3.05-3.35, 8 Ga 3.15-3.37
4 Ga 0.0146 0.6613 0.3534  4 Cu 2.53-2.78, 1 Ga 2.59
5 Ga 0.3079 0.6613 0.6466  4 Cu 2.53-2.78, 1 Ga 2.59
6 Ga 0.5000 0.0000 0.5000  8 Cu 2.58-2.78
7 Ga 0.6921 0.3387 0.3534  4 Cu 2.53-2.78, 1 Ga 2.59
8 Ga 0.9854 0.3387 0.6466  4 Cu 2.53-2.78, 1 Ga 2.59
9 Cu 0.1496 0.8688 0.2808  4 Ga 2.53-2.78, 2 Cu 2.79
10 Cu 0.3068 0.5000 0.8068  4 Ga 2.53-2.78, 4 Cu 2.79
11 Cu 0.4121 0.1312 0.2808  4 Ga 2.53-2.78, 2 Cu 2.79
12 Cu 0.5879 0.8688 0.7192  4 Ga 2.53-2.78, 2 Cu 2.79
13 Cu 0.6932 0.5000 0.1932  4 Ga 2.53-2.78, 4 Cu 2.79
14 Cu 0.8504 0.1312 0.7192  4 Ga 2.53-2.78, 2 Cu 2.79

No. 10
First-principles (PBE) data for Ac3PaN4 after structural relaxation, as listed in the Alexandria database.

Properties
Polymorph energy (0 for the lowest one), eV per atom: 0.019
E_form (uncorrected), eV/atom: -1.17
Electronic total energy, eV/atom: -8.0607
V, A^3/atom: 23.5

a b c (Å): 8.4173 7.0866 6.3125
angles (deg): 90.00 90.00 90.00
With the nearest neighbours (Å) after each atom.
Element x y z (fractional)
1 Ac 0.0000 0.1580 0.0000  4 N 2.53-2.64
2 Ac 0.2482 0.3280 0.5005  4 N 2.58-2.65
3 Ac 0.2518 0.6720 0.0005  4 N 2.58-2.65
4 Ac 0.5000 0.8420 0.5000  4 N 2.53-2.64
5 Ac 0.7482 0.6720 0.0005  4 N 2.58-2.65
6 Ac 0.7518 0.3280 0.5005  4 N 2.58-2.65
7 Pa 0.0000 0.8175 0.5006  4 N 2.19-2.24
8 Pa 0.5000 0.1825 0.0006  4 N 2.19-2.24
9 N 0.0000 0.1249 0.5833  1 Pa 2.24
10 N 0.0000 0.8289 0.1546  1 Pa 2.19
11 N 0.2321 0.6855 0.5820  1 Pa 2.23
12 N 0.2679 0.3145 0.0820  1 Pa 2.23
13 N 0.5000 0.1711 0.6546  1 Pa 2.19
14 N 0.5000 0.8751 0.0833  1 Pa 2.24
15 N 0.7321 0.3145 0.0820  1 Pa 2.23
16 N 0.7679 0.6855 0.5820  1 Pa 2.23

No. 11
First-principles (PBE) data for Ac2PmPb2 after structural relaxation, as listed in the Alexandria database.

Properties
Polymorph energy (0 for the lowest one), eV per atom: 0.000
Electronic total energy, eV/atom: -4.5869
Energy of formation, eV/atom: -0.510
V, A^3/atom: 36.7

a b c (Å): 8.6233 8.6233 4.9301
angles (deg): 90.00 90.00 90.00
With the nearest neighbours (Å) after each atom.
Element x y z (fractional)
1 Ac 0.1702 0.3298 0.0000  6 Pb 3.43-3.61
2 Ac 0.3298 0.8298 0.0000  6 Pb 3.43-3.61
3 Ac 0.6702 0.1702 0.0000  6 Pb 3.43-3.61
4 Ac 0.8298 0.6702 0.0000  6 Pb 3.43-3.61
5 Pm 0.0000 0.0000 0.5000  4 Pb 3.36
6 Pm 0.5000 0.5000 0.5000  4 Pb 3.36
7 Pb 0.1337 0.6337 0.5000  1 Pb 3.26, 2 Pm 3.36, 6 Ac 3.43-3.61
8 Pb 0.3663 0.1337 0.5000  1 Pb 3.26, 2 Pm 3.36, 6 Ac 3.43-3.61
9 Pb 0.6337 0.8663 0.5000  1 Pb 3.26, 2 Pm 3.36, 6 Ac 3.43-3.61
10 Pb 0.8663 0.3663 0.5000  1 Pb 3.26, 2 Pm 3.36, 6 Ac 3.43-3.61

No. 12
First-principles (PBE) data for PdRhPb2O6 after structural relaxation, as listed in the Alexandria database.

Properties
E_form (uncorrected), eV/atom: -0.63
Electronic total energy, eV/atom: -5.6043
V, A^3/atom: 13.8

a b c (Å): 5.6313 5.6313 4.3435
angles (deg): 90.00 90.00 90.00
With the nearest neighbours (Å) after each atom.
Element x y z (fractional)
1 Pd 0.0000 0.0000 0.0000  6 O 2.07-2.28
2 Rh 0.5000 0.5000 0.9789  5 O 1.87-1.98
3 Pb 0.0000 0.5000 0.4261  4 O 2.50
4 Pb 0.5000 0.0000 0.4261  4 O 2.50
5 O 0.0000 0.0000 0.5240  2 Pd 2.07-2.28
6 O 0.2572 0.2572 0.0774  1 Rh 1.98, 1 Pd 2.08
7 O 0.2572 0.7428 0.0774  1 Rh 1.98, 1 Pd 2.08
8 O 0.5000 0.5000 0.5489  1 Rh 1.87
9 O 0.7428 0.2572 0.0774  1 Rh 1.98, 1 Pd 2.08
10 O 0.7428 0.7428 0.0774  1 Rh 1.98, 1 Pd 2.08

What is the V in the twelfth record? 13.8 A^3/atom